A plane-wave DFT calculation with PBE was carried out for a geometry-optimized Sb2PbSe structure.

The crystal system is trigonal. The uncorrected formation energy comes out at 0.11 eV per atom. As for the density of states at the Fermi level: 0.507 states/eV per atom.

a = 9.801 Å, b = 9.801 Å, c = 9.801 Å
α = 21.58°, β = 21.58°, γ = 21.58°
Fractional coordinates of all 4 atoms:
1 Sb 0.988 0.988 0.988
2 Sb 0.512 0.512 0.512
3 Pb 0.750 0.750 0.750
4 Se 0.250 0.250 0.250